{"formula": "PmZnB4", "functional": "PBE-GGA", "state": "relaxed", "cell": [[-0.917, -2.653, 1.504], [2.131, 1.942, 1.353], [-5.470, 3.737, 3.254]], "species": ["B", "B", "B", "B", "Pm", "Zn"], "frac_coords": [[0.667, 0.333, 0.220], [0.333, 0.667, 0.220], [0.667, 0.333, 0.780], [0.333, 0.667, 0.780], [0.000, 0.000, 0.500], [0.000, 0.000, 0.000]], "e_tot_ev_per_atom": -5.420, "volume_a3_per_cell": 64.8}



{"formula": "PmZnB4", "functional": "PBE-GGA", "state": "relaxed", "cell": [[-1.592, 2.655, 4.104], [1.592, -2.655, 4.104], [1.592, 2.655, -4.104]], "species": ["B", "B", "B", "B", "Pm", "Zn"], "frac_coords": [[0.582, 0.258, 0.324], [0.066, 0.742, 0.324], [0.934, 0.258, 0.676], [0.418, 0.742, 0.676], [0.000, 0.000, 0.000], [0.500, 0.500, 0.000]], "e_tot_ev_per_atom": -5.487, "volume_a3_per_cell": 69.4}



{"formula": "PmZrB", "functional": "PBE-GGA", "state": "relaxed", "cell": [[-4.261, -1.088, 0.449], [-2.102, 0.820, 3.802], [-3.082, 3.164, 0.184]], "species": ["B", "Pm", "Zr"], "frac_coords": [[0.000, 0.000, 0.000], [0.250, 0.250, 0.250], [0.750, 0.750, 0.750]], "e_tot_ev_per_atom": -6.492, "volume_a3_per_cell": 61.1}